This record from Alexandria via LeMat-Bulk describes ScTiZn2Ga after structural relaxation. The functional is PBE.

Results
* Fermi-level density of states: 3.47 states/eV per cell
* electronic total energy: -3.0244 eV per atom
* formation energy from the elements: 21.58 kcal/mol of atoms

abc: 4.8727 4.8727 4.9393
angles: 90.00 90.00 90.00
Fractional coordinates of all 5 atoms:
Sc 0.0000 0.0000 0.0000
Ti 0.5000 0.5000 0.5000
Zn 0.0000 0.5000 0.0000
Zn 0.5000 0.0000 0.0000
Ga 0.0000 0.0000 0.5000

=====

This record from Alexandria via LeMat-Bulk describes B3SbOs after structural relaxation. The functional is PBE.

Results
* Fermi-level density of states: 4.69 states/eV per cell
* electronic total energy: -5.8777 eV per atom
* uncorrected formation energy: 116 kJ per mole of atoms

abc: 4.1942 4.1942 4.1942
angles: 90.00 90.00 90.00
Fractional coordinates of all 5 atoms:
B 0.0000 0.0000 0.5000
B 0.0000 0.5000 0.0000
B 0.5000 0.0000 0.0000
Sb 0.5000 0.5000 0.5000
Os 0.0000 0.0000 0.0000

=====

This record from Alexandria via LeMat-Bulk describes CrTcH2 after structural relaxation. The functional is PBE.

Results
* Fermi-level density of states: 6.19 states/eV per cell
* electronic total energy: -6.4438 eV per atom

abc: 2.7851 2.7851 14.1694
angles: 90.00 90.00 120.00
Fractional coordinates of all 12 atoms:
Cr 0.0000 0.0000 0.0000
Cr 0.3333 0.6667 0.6667
Cr 0.6667 0.3333 0.3333
Tc 0.0000 0.0000 0.1812
Tc 0.3333 0.6667 0.8479
Tc 0.6667 0.3333 0.5146
H 0.0000 0.0000 0.5938
H 0.0000 0.0000 0.7492
H 0.3333 0.6667 0.2605
H 0.3333 0.6667 0.4158
H 0.6667 0.3333 0.0825
H 0.6667 0.3333 0.9271

=====

This record from Alexandria via LeMat-Bulk describes YMnFe after structural relaxation. The functional is PBE.

Results
* Fermi-level density of states: 2.77 states/eV per cell
* electronic total energy: -7.4247 eV per atom
* formation energy from the elements: 14.01 kcal/mol of atoms

abc: 3.3116 3.3116 6.0254
angles: 90.00 90.00 120.00
Fractional coordinates of all 3 atoms:
Y 0.0000 0.0000 0.0000
Mn 0.3333 0.6667 0.6034
Fe 0.6667 0.3333 0.3423

=====

This record from Alexandria via LeMat-Bulk describes ScTa2Fe after structural relaxation. The functional is PBE.

Results
* Fermi-level density of states: 4.30 states/eV per cell
* electronic total energy: -9.4386 eV per atom
* formation energy from the elements: 4.30 kcal/mol of atoms

abc: 3.0133 4.0726 5.8310
angles: 90.00 104.00 90.00
Fractional coordinates of all 4 atoms:
Sc 0.0000 0.0000 0.0000
Ta 0.1777 0.0000 0.5441
Ta 0.6088 0.5000 0.2984
Fe 0.5545 0.5000 0.7495

=====

This record from Alexandria via LeMat-Bulk describes YFeB2Ru after structural relaxation. The functional is PBE.

Results
* Fermi-level density of states: 6.34 states/eV per cell
* electronic total energy: -7.9446 eV per atom
* formation energy from the elements: -9.99 kcal/mol of atoms

abc: 3.7478 3.7478 9.5803
angles: 90.00 90.00 90.00
Fractional coordinates of all 10 atoms:
Y 0.0000 0.0000 0.0000
Y 0.5000 0.5000 0.5000
Fe 0.0000 0.5000 0.2500
Fe 0.5000 0.0000 0.7500
B 0.0000 0.0000 0.3440
B 0.0000 0.0000 0.6560
B 0.5000 0.5000 0.1560
B 0.5000 0.5000 0.8440
Ru 0.0000 0.5000 0.7500
Ru 0.5000 0.0000 0.2500

=====

This record from Alexandria via LeMat-Bulk describes CsP3W after structural relaxation. The functional is PBE.

Results
* Fermi-level density of states: 4.75 states/eV per cell
* electronic total energy: -5.8575 eV per atom
* formation energy from the elements: 3.45 kcal/mol of atoms

abc: 4.8617 4.8617 4.8617
angles: 90.00 90.00 90.00
Fractional coordinates of all 5 atoms:
Cs 0.0000 0.0000 0.0000
P 0.0000 0.5000 0.5000
P 0.5000 0.0000 0.5000
P 0.5000 0.5000 0.0000
W 0.5000 0.5000 0.5000

=====

This record from Alexandria via LeMat-Bulk describes Mn2GaCo3 after structural relaxation. The functional is PBE.

Results
* Fermi-level density of states: 9.09 states/eV per cell
* electronic total energy: -7.2393 eV per atom
* formation energy from the elements: -2.89 kcal/mol of atoms

abc: 6.3919 6.3919 5.7203
angles: 90.00 90.00 143.19
Fractional coordinates of all 12 atoms:
Mn 0.0000 0.0000 0.0000
Mn 0.0000 0.0000 0.5000
Mn 0.3334 0.6666 0.0000
Mn 0.6666 0.3334 0.0000
Ga 0.3377 0.6623 0.5000
Ga 0.6623 0.3377 0.5000
Co 0.1663 0.8337 0.2424
Co 0.1663 0.8337 0.7576
Co 0.5000 0.5000 0.2410
Co 0.5000 0.5000 0.7590
Co 0.8337 0.1663 0.2424
Co 0.8337 0.1663 0.7576

=====

This record from Alexandria via LeMat-Bulk describes RbRe2TeN after structural relaxation. The functional is PBE.

Results
* Fermi-level density of states: 5.91 states/eV per cell
* electronic total energy: -6.2326 eV per atom
* uncorrected formation energy: 119 kJ per mole of atoms

abc: 4.1225 4.1225 5.9283
angles: 90.00 90.00 90.00
Fractional coordinates of all 5 atoms:
Rb 0.0000 0.0000 0.0000
Re 0.0000 0.5000 0.5000
Re 0.5000 0.0000 0.5000
Te 0.5000 0.5000 0.0000
N 0.5000 0.5000 0.5000

=====

This record from Alexandria via LeMat-Bulk describes Tb5NdY3 after structural relaxation. The functional is PBE.

Results
* Fermi-level density of states: 25.23 states/eV per cell
* electronic total energy: -4.9615 eV per atom
* formation energy from the elements: 6.81 kcal/mol of atoms

abc: 9.7287 9.7287 11.3592
angles: 110.82 110.82 38.07
Fractional coordinates of all 18 atoms:
Tb 0.0431 0.6167 0.2895
Tb 0.1025 0.8975 0.7500
Tb 0.1493 0.5108 0.6287
Tb 0.3833 0.9569 0.2105
Tb 0.4892 0.8507 0.8713
Tb 0.5108 0.1493 0.1287
Tb 0.6167 0.0431 0.7895
Tb 0.8507 0.4892 0.3713
Tb 0.8975 0.1025 0.2500
Tb 0.9569 0.3833 0.7105
Nd 0.3677 0.6323 0.2500
Nd 0.6323 0.3677 0.7500
Y 0.0318 0.6465 0.9852
Y 0.3535 0.9682 0.5148
Y 0.5000 0.5000 0.0000
Y 0.5000 0.5000 0.5000
Y 0.6465 0.0318 0.4852
Y 0.9682 0.3535 0.0148

=====

This record from Alexandria via LeMat-Bulk describes Ac2PrGa2 after structural relaxation. The functional is PBE.

Results
* Fermi-level density of states: 7.37 states/eV per cell
* electronic total energy: -4.2270 eV per atom
* formation energy from the elements: -9.62 kcal/mol of atoms

abc: 6.7868 6.7868 11.6154
angles: 117.63 117.63 43.35
Fractional coordinates of all 10 atoms:
Ac 0.0163 0.0163 0.1788
Ac 0.1909 0.1909 0.5989
Ac 0.8091 0.8091 0.4011
Ac 0.9837 0.9837 0.8212
Pr 0.2944 0.2944 0.1477
Pr 0.7056 0.7056 0.8523
Ga 0.3743 0.3743 0.9294
Ga 0.4614 0.4614 0.5869
Ga 0.5386 0.5386 0.4131
Ga 0.6257 0.6257 0.0706

=====

This record from Alexandria via LeMat-Bulk describes CrAs2Se after structural relaxation. The functional is PBE.

Results
* Fermi-level density of states: 5.87 states/eV per cell
* electronic total energy: -5.5365 eV per atom
* uncorrected formation energy: 6 kJ per mole of atoms

abc: 5.3941 5.3941 5.3770
angles: 90.00 90.00 90.00
Fractional coordinates of all 8 atoms:
Cr 0.0000 0.0000 0.0000
Cr 0.5000 0.5000 0.5000
As 0.0000 0.5000 0.0000
As 0.0000 0.5000 0.5000
As 0.5000 0.0000 0.0000
As 0.5000 0.0000 0.5000
Se 0.0000 0.0000 0.5000
Se 0.5000 0.5000 0.0000

=====

This record from Alexandria via LeMat-Bulk describes Sm3Ge2 after structural relaxation. The functional is PBE.

Results
* Fermi-level density of states: 7.05 states/eV per cell
* electronic total energy: -5.3812 eV per atom
* formation energy from the elements: -16.21 kcal/mol of atoms

abc: 4.4393 6.5362 9.0657
angles: 90.00 90.00 90.00
Fractional coordinates of all 10 atoms:
Sm 0.0000 0.0000 0.0000
Sm 0.0000 0.5000 0.1996
Sm 0.0000 0.5000 0.8004
Sm 0.5000 0.0000 0.3004
Sm 0.5000 0.0000 0.6996
Sm 0.5000 0.5000 0.5000
Ge 0.0000 0.2021 0.5000
Ge 0.0000 0.7979 0.5000
Ge 0.5000 0.2979 0.0000
Ge 0.5000 0.7021 0.0000

=====

This record from Alexandria via LeMat-Bulk describes NdSm2Hg5 after structural relaxation. The functional is PBE.

Results
* Fermi-level density of states: 9.58 states/eV per cell
* electronic total energy: -2.4064 eV per atom
* formation energy from the elements: -10.19 kcal/mol of atoms

abc: 5.2984 5.2984 14.9588
angles: 90.00 90.00 90.00
Fractional coordinates of all 16 atoms:
Nd 0.0000 0.0000 0.0000
Nd 0.5000 0.5000 0.5000
Sm 0.0000 0.0000 0.2680
Sm 0.0000 0.0000 0.7320
Sm 0.5000 0.5000 0.2320
Sm 0.5000 0.5000 0.7680
Hg 0.0000 0.0000 0.5000
Hg 0.0000 0.5000 0.1241
Hg 0.0000 0.5000 0.3759
Hg 0.0000 0.5000 0.6241
Hg 0.0000 0.5000 0.8759
Hg 0.5000 0.0000 0.1241
Hg 0.5000 0.0000 0.3759
Hg 0.5000 0.0000 0.6241
Hg 0.5000 0.0000 0.8759
Hg 0.5000 0.5000 0.0000

=====

This record from Alexandria via LeMat-Bulk describes Zn2FeMo after structural relaxation. The functional is PBE.

Results
* Fermi-level density of states: 1.64 states/eV per cell
* electronic total energy: -5.4036 eV per atom
* formation energy from the elements: 1.31 kcal/mol of atoms

abc: 2.8998 2.8998 6.5409
angles: 90.00 90.00 90.00
Fractional coordinates of all 4 atoms:
Zn 0.0000 0.0000 0.0000
Zn 0.5000 0.5000 0.2608
Fe 0.0000 0.0000 0.5001
Mo 0.5000 0.5000 0.7102

=====

This record from Alexandria via LeMat-Bulk describes CrSn3Pt12 after structural relaxation. The functional is PBE.

Results
* Fermi-level density of states: 12.83 states/eV per cell
* electronic total energy: -6.2318 eV per atom
* formation energy from the elements: -8.05 kcal/mol of atoms

abc: 4.0220 4.0220 16.1297
angles: 90.00 90.00 90.00
Fractional coordinates of all 16 atoms:
Cr 0.0000 0.0000 0.0000
Sn 0.0000 0.0000 0.2440
Sn 0.0000 0.0000 0.5000
Sn 0.0000 0.0000 0.7560
Pt 0.0000 0.5000 0.1178
Pt 0.0000 0.5000 0.3727
Pt 0.0000 0.5000 0.6273
Pt 0.0000 0.5000 0.8822
Pt 0.5000 0.0000 0.1178
Pt 0.5000 0.0000 0.3727
Pt 0.5000 0.0000 0.6273
Pt 0.5000 0.0000 0.8822
Pt 0.5000 0.5000 0.0000
Pt 0.5000 0.5000 0.2463
Pt 0.5000 0.5000 0.5000
Pt 0.5000 0.5000 0.7537

=====

This record from Alexandria via LeMat-Bulk describes Ac2PrPa3N8 after structural relaxation. The functional is PBE.

Results
* Fermi-level density of states: 0.00 states/eV per cell
* electronic total energy: -9.2055 eV per atom
* uncorrected formation energy: -143 kJ per mole of atoms

abc: 7.2870 7.2870 7.2870
angles: 58.96 58.96 58.96
Fractional coordinates of all 14 atoms:
Ac 0.0000 0.0000 0.0000
Ac 0.3828 0.3828 0.3828
Pr 0.7666 0.7666 0.7666
Pa 0.3819 0.3819 0.8839
Pa 0.3819 0.8839 0.3819
Pa 0.8839 0.3819 0.3819
N 0.1359 0.1359 0.5725
N 0.1359 0.5725 0.1359
N 0.1525 0.1525 0.1525
N 0.1806 0.6342 0.6342
N 0.5725 0.1359 0.1359
N 0.6149 0.6149 0.6149
N 0.6342 0.1806 0.6342
N 0.6342 0.6342 0.1806

=====

This record from Alexandria via LeMat-Bulk describes Cs2KHgAu after structural relaxation. The functional is PBE.

Results
* Fermi-level density of states: 3.43 states/eV per cell
* electronic total energy: -1.4152 eV per atom
* formation energy from the elements: -3.19 kcal/mol of atoms

abc: 7.0857 7.0857 5.5729
angles: 90.00 90.00 90.00
Fractional coordinates of all 5 atoms:
Cs 0.0000 0.5000 0.0000
Cs 0.5000 0.0000 0.0000
K 0.0000 0.0000 0.5000
Hg 0.5000 0.5000 0.5000
Au 0.5000 0.5000 0.0000

=====

This record from Alexandria via LeMat-Bulk describes ReBrCl2 after structural relaxation. The functional is PBE.

Results
* Fermi-level density of states: 4.54 states/eV per cell
* electronic total energy: -3.3293 eV per atom
* uncorrected formation energy: 108 kJ per mole of atoms

abc: 6.6286 8.6936 3.3988
angles: 90.00 115.68 90.00
Fractional coordinates of all 8 atoms:
Re 0.0000 0.0000 0.0000
Re 0.5000 0.5000 0.0000
Br 0.0000 0.5000 0.0000
Br 0.5000 0.0000 0.0000
Cl 0.2500 0.2500 0.0000
Cl 0.2500 0.7500 0.0000
Cl 0.7500 0.2500 0.0000
Cl 0.7500 0.7500 0.0000

=====

This record from Alexandria via LeMat-Bulk describes RbSb6 after structural relaxation. The functional is PBE.

Results
* Fermi-level density of states: 10.86 states/eV per cell
* electronic total energy: -3.5694 eV per atom
* uncorrected formation energy: 10 kJ per mole of atoms

abc: 8.5375 8.5375 8.5375
angles: 90.00 90.00 90.00
Fractional coordinates of all 14 atoms:
Rb 0.0000 0.0000 0.0000
Rb 0.5000 0.5000 0.5000
Sb 0.0000 0.2500 0.5000
Sb 0.0000 0.5000 0.2500
Sb 0.0000 0.5000 0.7500
Sb 0.0000 0.7500 0.5000
Sb 0.2500 0.0000 0.5000
Sb 0.2500 0.5000 0.0000
Sb 0.5000 0.0000 0.2500
Sb 0.5000 0.0000 0.7500
Sb 0.5000 0.2500 0.0000
Sb 0.5000 0.7500 0.0000
Sb 0.7500 0.0000 0.5000
Sb 0.7500 0.5000 0.0000

=====

This record from Alexandria via LeMat-Bulk describes SmY6In after structural relaxation. The functional is PBE.

Results
* Fermi-level density of states: 9.73 states/eV per cell
* electronic total energy: -5.8930 eV per atom
* formation energy from the elements: -2.60 kcal/mol of atoms

abc: 4.9310 4.9310 10.1240
angles: 90.00 90.00 90.00
Fractional coordinates of all 8 atoms:
Sm 0.0000 0.0000 0.0000
Y 0.0000 0.5000 0.2580
Y 0.0000 0.5000 0.7420
Y 0.5000 0.0000 0.2580
Y 0.5000 0.0000 0.7420
Y 0.5000 0.5000 0.0000
Y 0.5000 0.5000 0.5000
In 0.0000 0.0000 0.5000

=====

This record from Alexandria via LeMat-Bulk describes Dy6Tm3Tl after structural relaxation. The functional is PBE.

Results
* Fermi-level density of states: 28.42 states/eV per cell
* electronic total energy: -4.3492 eV per atom
* formation energy from the elements: -0.23 kcal/mol of atoms

abc: 12.7572 3.5357 14.3198
angles: 90.00 108.01 90.00
Fractional coordinates of all 20 atoms:
Dy 0.1140 0.2500 0.2110
Dy 0.1617 0.7500 0.7841
Dy 0.2448 0.2500 0.6040
Dy 0.2817 0.7500 0.4005
Dy 0.3566 0.7500 0.1935
Dy 0.3612 0.2500 0.9766
Dy 0.6388 0.7500 0.0234
Dy 0.6434 0.2500 0.8065
Dy 0.7183 0.2500 0.5995
Dy 0.7552 0.7500 0.3960
Dy 0.8383 0.2500 0.2159
Dy 0.8860 0.7500 0.7890
Tm 0.0315 0.7500 0.4079
Tm 0.1227 0.7500 0.0053
Tm 0.4902 0.7500 0.6012
Tm 0.5098 0.2500 0.3988
Tm 0.8773 0.2500 0.9947
Tm 0.9685 0.2500 0.5921
Tl 0.4216 0.7500 0.8018
Tl 0.5784 0.2500 0.1982

=====

This record from Alexandria via LeMat-Bulk describes KBeZn2 after structural relaxation. The functional is PBE.

Results
* Fermi-level density of states: 1.28 states/eV per cell
* electronic total energy: -1.4851 eV per atom
* formation energy from the elements: 8.25 kcal/mol of atoms

abc: 2.6809 3.8535 7.7559
angles: 90.00 90.00 90.00
Fractional coordinates of all 4 atoms:
K 0.0000 0.0000 0.0000
Be 0.5000 0.5000 0.6494
Zn 0.0000 0.0000 0.5691
Zn 0.5000 0.5000 0.3348

=====

This record from Alexandria via LeMat-Bulk describes Zr2Zn3Cu4 after structural relaxation. The functional is PBE.

Results
* Fermi-level density of states: 12.98 states/eV per cell
* electronic total energy: -4.2795 eV per atom
* formation energy from the elements: -3.11 kcal/mol of atoms

abc: 7.7632 7.7632 7.3026
angles: 90.00 90.00 141.01
Fractional coordinates of all 18 atoms:
Zr 0.1002 0.8998 0.8988
Zr 0.3998 0.6002 0.3988
Zr 0.6002 0.3998 0.6012
Zr 0.8998 0.1002 0.1012
Zn 0.0000 0.0000 0.5000
Zn 0.0134 0.4866 0.7500
Zn 0.4866 0.0134 0.2500
Zn 0.5000 0.5000 0.0000
Zn 0.5134 0.9866 0.7500
Zn 0.9866 0.5134 0.2500
Cu 0.1736 0.8264 0.5144
Cu 0.1824 0.3176 0.7500
Cu 0.3176 0.1824 0.2500
Cu 0.3264 0.6736 0.0144
Cu 0.6736 0.3264 0.9856
Cu 0.6824 0.8176 0.7500
Cu 0.8176 0.6824 0.2500
Cu 0.8264 0.1736 0.4856

=====

This record from Alexandria via LeMat-Bulk describes ScReP2 after structural relaxation. The functional is PBE.

Results
* Fermi-level density of states: 2.88 states/eV per cell
* electronic total energy: -8.0171 eV per atom
* formation energy from the elements: -14.23 kcal/mol of atoms

abc: 7.0600 3.3069 5.7278
angles: 90.00 106.11 90.00
Fractional coordinates of all 8 atoms:
Sc 0.0000 0.0000 0.0000
Sc 0.5000 0.5000 0.0000
Re 0.0000 0.5000 0.5000
Re 0.5000 0.0000 0.5000
P 0.2450 0.0000 0.7104
P 0.2550 0.5000 0.2896
P 0.7450 0.5000 0.7104
P 0.7550 0.0000 0.2896